Entry 1:
Here is NiBi4Pd after structural relaxation from Alexandria via LeMat-Bulk. Energies are from GGA-PBE.

magnetic moment	0.0	μB/f.u.
VASP energy	-4.37	eV/atom
ΔE_f	0.05	eV/atom

The structure in CIF format:
```
data_NiBi4Pd
_chemical_formula_sum 'Ni2 Bi8 Pd2'
_space_group_name_H-M_alt 'P -1'
_space_group_IT_number 2
_cell_length_a 6.526
_cell_length_b 7.501
_cell_length_c 7.517
_cell_angle_alpha 71.20
_cell_angle_beta 69.15
_cell_angle_gamma 69.67
loop_
_space_group_symop_operation_xyz
'x,y,z'
'-x,-y,-z'
loop_
_atom_site_label
_atom_site_fract_x
_atom_site_fract_y
_atom_site_fract_z
Ni1 0.000 0.000 0.000
Ni2 0.000 0.500 0.500
Bi1 0.170 0.079 0.581
Bi2 0.227 0.196 0.058
Bi3 0.231 0.560 0.691
Bi4 0.276 0.656 0.156
Pd1 0.500 0.238 0.259
```



Entry 2:
Here is NiBiPd after structural relaxation from Alexandria via LeMat-Bulk. Energies are from GGA-PBE.

magnetic moment	0.0	μB/f.u.
VASP energy	-4.99	eV/atom
ΔE_f	-0.04	eV/atom

The structure in CIF format:
```
data_NiBiPd
_chemical_formula_sum 'Ni4 Bi4 Pd4'
_space_group_name_H-M_alt 'F -4 3 m'
_space_group_IT_number 216
_space_group_name_Hall 'F -4 2 3'
_cell_length_a 6.110
_cell_length_b 6.110
_cell_length_c 6.110
_cell_angle_alpha 90.00
_cell_angle_beta 90.00
_cell_angle_gamma 90.00
loop_
_atom_site_label
_atom_site_fract_x
_atom_site_fract_y
_atom_site_fract_z
Ni1 0.000 0.000 0.000
Bi1 0.250 0.250 0.250
Pd1 0.250 0.250 0.750
```



Entry 3:
Here is Ni2BiPd9 after structural relaxation from Alexandria via LeMat-Bulk. Energies are from GGA-PBE.

magnetic moment	3.0	μB/f.u.
VASP energy	-5.22	eV/atom
ΔE_f	-0.04	eV/atom

The structure in CIF format:
```
data_Ni2BiPd9
_chemical_formula_sum 'Ni2 Bi1 Pd9'
_space_group_name_H-M_alt 'P 4/m m m'
_space_group_IT_number 123
_space_group_name_Hall '-P 4 2'
_cell_length_a 3.987
_cell_length_b 3.987
_cell_length_c 11.747
_cell_angle_alpha 90.00
_cell_angle_beta 90.00
_cell_angle_gamma 90.00
loop_
_atom_site_label
_atom_site_fract_x
_atom_site_fract_y
_atom_site_fract_z
Ni1 0.000 0.000 0.153
Bi1 0.000 0.000 0.500
Pd1 0.000 0.500 0.000
Pd2 0.000 0.500 0.317
Pd3 0.500 0.500 0.158
Pd4 0.500 0.500 0.500
```



Entry 4:
Here is PrNiBiPd after structural relaxation from Alexandria via LeMat-Bulk. Energies are from GGA-PBE.

magnetic moment	0.0	μB/f.u.
VASP energy	-5.34	eV/atom
ΔE_f	-0.43	eV/atom

The structure in CIF format:
```
data_PrNiBiPd
_chemical_formula_sum 'Pr4 Ni4 Bi4 Pd4'
_space_group_name_H-M_alt 'F -4 3 m'
_space_group_IT_number 216
_space_group_name_Hall 'F -4 2 3'
_cell_length_a 6.963
_cell_length_b 6.963
_cell_length_c 6.963
_cell_angle_alpha 90.00
_cell_angle_beta 90.00
_cell_angle_gamma 90.00
loop_
_atom_site_label
_atom_site_fract_x
_atom_site_fract_y
_atom_site_fract_z
Pr1 0.000 0.000 0.000
Ni1 0.250 0.250 0.250
Bi1 0.000 0.000 0.500
Pd1 0.250 0.250 0.750
```



Entry 5:
Here is NiBiPdPt after structural relaxation from Alexandria via LeMat-Bulk. Energies are from GGA-PBE.

magnetic moment	0.0	μB/f.u.
VASP energy	-5.23	eV/atom
ΔE_f	-0.01	eV/atom

The structure in CIF format:
```
data_NiBiPdPt
_chemical_formula_sum 'Ni4 Bi4 Pd4 Pt4'
_space_group_name_H-M_alt 'F -4 3 m'
_space_group_IT_number 216
_space_group_name_Hall 'F -4 2 3'
_cell_length_a 6.474
_cell_length_b 6.474
_cell_length_c 6.474
_cell_angle_alpha 90.00
_cell_angle_beta 90.00
_cell_angle_gamma 90.00
loop_
_atom_site_label
_atom_site_fract_x
_atom_site_fract_y
_atom_site_fract_z
Ni1 0.000 0.000 0.000
Bi1 0.250 0.250 0.750
Pd1 0.000 0.000 0.500
Pt1 0.250 0.250 0.250
```



Entry 6:
Here is PuNiBiPd after structural relaxation from Alexandria via LeMat-Bulk. Energies are from GGA-PBE.

magnetic moment	5.0	μB/f.u.
VASP energy	-7.51	eV/atom
ΔE_f	-0.22	eV/atom

The structure in CIF format:
```
data_PuNiBiPd
_chemical_formula_sum 'Pu4 Ni4 Bi4 Pd4'
_space_group_name_H-M_alt 'F -4 3 m'
_space_group_IT_number 216
_space_group_name_Hall 'F -4 2 3'
_cell_length_a 6.854
_cell_length_b 6.854
_cell_length_c 6.854
_cell_angle_alpha 90.00
_cell_angle_beta 90.00
_cell_angle_gamma 90.00
loop_
_atom_site_label
_atom_site_fract_x
_atom_site_fract_y
_atom_site_fract_z
Pu1 0.000 0.000 0.000
Ni1 0.250 0.250 0.250
Bi1 0.000 0.000 0.500
Pd1 0.250 0.250 0.750
```



Entry 7:
Here is RbNiBiPd2 after structural relaxation from Alexandria via LeMat-Bulk. Energies are from GGA-PBE.

magnetic moment	0.0	μB/f.u.
VASP energy	-2.79	eV/atom
ΔE_f	1.42	eV/atom

The structure in CIF format:
```
data_RbNiBiPd2
_chemical_formula_sum 'Rb1 Ni1 Bi1 Pd2'
_space_group_name_H-M_alt 'P 4/m m m'
_space_group_IT_number 123
_space_group_name_Hall '-P 4 2'
_cell_length_a 5.199
_cell_length_b 5.199
_cell_length_c 4.669
_cell_angle_alpha 90.00
_cell_angle_beta 90.00
_cell_angle_gamma 90.00
loop_
_atom_site_label
_atom_site_fract_x
_atom_site_fract_y
_atom_site_fract_z
Rb1 0.000 0.000 0.000
Ni1 0.000 0.000 0.500
Bi1 0.500 0.500 0.500
Pd1 0.000 0.500 0.000
```



Entry 8:
Here is ScNi2BiPd after structural relaxation from Alexandria via LeMat-Bulk. Energies are from GGA-PBE.

magnetic moment	0.7	μB/f.u.
VASP energy	-5.01	eV/atom
ΔE_f	0.38	eV/atom

The structure in CIF format:
```
data_ScNi2BiPd
_chemical_formula_sum 'Sc1 Ni2 Bi1 Pd1'
_space_group_name_H-M_alt 'P 4/m m m'
_space_group_IT_number 123
_space_group_name_Hall '-P 4 2'
_cell_length_a 4.709
_cell_length_b 4.709
_cell_length_c 4.759
_cell_angle_alpha 90.00
_cell_angle_beta 90.00
_cell_angle_gamma 90.00
loop_
_atom_site_label
_atom_site_fract_x
_atom_site_fract_y
_atom_site_fract_z
Sc1 0.000 0.000 0.000
Ni1 0.000 0.500 0.500
Bi1 0.500 0.500 0.000
Pd1 0.000 0.000 0.500
```



no.,mass density (g/cm3)
1,10.584
2,10.891
3,11.421
4,10.133
5,13.936
6,12.749
7,7.445
8,7.518